A relaxed structure of SrDy2Er. Source: Alexandria via LeMat-Bulk, functional GGA-PBE.

Output
DOS at the Fermi energy ... 5.5 states/eV/cell
Formation energy from the elements ... 0.126 eV/atom
Size of the total moment ... 0.00 μB per cell
Total DFT energy (no corrections) ... -3.736 eV per atom

Unit cell a=3.660 b=3.660 c=10.544 alpha=90.00 beta=90.00 gamma=90.00
Fractional positions:
Sr: 0.000 0.000 0.000
Dy: 0.500 0.500 0.280
Dy: 0.500 0.500 0.720
Er: 0.000 0.000 0.500